Entry 1:
This record from the Alexandria database describes Np3P3Pt after structural relaxation. The functional is PBE-GGA.

- DFT formation energy: -0.7037 eV/atom

a b c (Å): 8.0134 8.0134 5.4654
angles (deg): 90.00 90.00 120.00
Space group P6_3/m (No. 176)
Asymmetric unit:
Np  0.0902  0.4076  0.2500 (multiplicity 6)
P  0.0730  0.3417  0.7500 (multiplicity 6)
Pt  0.3333  0.6667  0.7500 (multiplicity 2)


Entry 2:
This record from the Alexandria database describes FeRh4Se after structural relaxation. The functional is PBE-GGA.

- Electronic total energy: -6.39 eV/atom

a b c (Å): 7.261 7.261 7.261
angles (deg): 90.00 90.00 90.00
Space group F-43m (No. 216)
Asymmetric unit:
Fe  0.000  0.000  0.000 (multiplicity 4)
Rh  0.125  0.125  0.625 (multiplicity 16)
Se  0.250  0.250  0.250 (multiplicity 4)


Entry 3:
This record from the Alexandria database describes ErGe2PtRh2 after structural relaxation. The functional is PBE-GGA.

- DFT formation energy: -0.1936 eV/atom

a b c (Å): 4.657 4.657 5.497
angles (deg): 90.00 90.00 90.00
Space group P4/mmm (No. 123)
Asymmetric unit:
Er  0.000  0.000  0.000 (multiplicity 1)
Ge  0.000  0.500  0.500 (multiplicity 2)
Pt  0.000  0.000  0.500 (multiplicity 1)
Rh  0.500  0.500  0.242 (multiplicity 2)